Record 1
Re2HgO8 | PBE-GGA | optimized geometry

Computed properties:
- total DFT energy (no corrections) (eV/atom) = -7.18
- calculated volume (Å³ per cell) = 221
- uncorrected formation energy (eV/atom) = -1.29

Lattice parameters (Å, degrees): 7.0167 7.0167 6.1045 113.37 113.37 55.30
Fractional coordinates of all 11 atoms:
Re 0.1901 0.1901 0.1571
Re 0.8099 0.8099 0.8429
Hg 0.0000 0.0000 0.5000
O 0.0796 0.6529 0.7576
O 0.1486 0.1486 0.8284
O 0.3457 0.3457 0.3112
O 0.3471 0.9204 0.2424
O 0.6529 0.0796 0.7576
O 0.6543 0.6543 0.6888
O 0.8514 0.8514 0.1716
O 0.9204 0.3471 0.2424

Record 2
SmEr6Mg2 | PBE-GGA | optimized geometry

Computed properties:
- energy of formation from the pure elements (eV/atom) = 0.46
- total DFT energy (no corrections) (eV/atom) = -3.46
- calculated volume (Å³ per cell) = 282

Lattice parameters (Å, degrees): 7.5941 7.5941 7.5941 56.13 56.13 56.13
Fractional coordinates of all 9 atoms:
Sm 0.0000 0.0000 0.0000
Er 0.2866 0.7293 0.7293
Er 0.4545 0.9460 0.9460
Er 0.7293 0.2866 0.7293
Er 0.7293 0.7293 0.2866
Er 0.9460 0.4545 0.9460
Er 0.9460 0.9460 0.4545
Mg 0.2587 0.2587 0.2587
Mg 0.4355 0.4355 0.4355

Record 3
ZrSn2BN | PBE-GGA | optimized geometry

Computed properties:
- total DFT energy (no corrections) (eV/atom) = -5.27
- calculated volume (Å³ per cell) = 95
- uncorrected formation energy (eV/atom) = 1.05

Lattice parameters (Å, degrees): 4.5144 4.5144 4.6583 90.00 90.00 90.00
Fractional coordinates of all 5 atoms:
Zr 0.0000 0.0000 0.0000
Sn 0.0000 0.5000 0.5000
Sn 0.5000 0.0000 0.5000
B 0.0000 0.0000 0.5000
N 0.5000 0.5000 0.0000

Record 4
CrRe3 | PBE-GGA | optimized geometry

Computed properties:
- energy of formation from the pure elements (eV/atom) = 0.13
- total DFT energy (no corrections) (eV/atom) = -11.61
- calculated volume (Å³ per cell) = 57

Lattice parameters (Å, degrees): 3.8579 3.8579 3.8579 90.00 90.00 90.00
Fractional coordinates of all 4 atoms:
Cr 0.0000 0.0000 0.0000
Re 0.0000 0.5000 0.5000
Re 0.5000 0.0000 0.5000
Re 0.5000 0.5000 0.0000

Record 5
BaReRh | PBE-GGA | optimized geometry

Computed properties:
- energy of formation from the pure elements (eV/atom) = 0.33
- total DFT energy (no corrections) (eV/atom) = -6.91
- calculated volume (Å³ per cell) = 154

Lattice parameters (Å, degrees): 3.9850 3.9850 9.7036 90.00 90.00 90.00
Fractional coordinates of all 6 atoms:
Ba 0.2500 0.2500 0.1772
Ba 0.7500 0.7500 0.8228
Re 0.2500 0.7500 0.5000
Re 0.7500 0.2500 0.5000
Rh 0.2500 0.2500 0.6739
Rh 0.7500 0.7500 0.3261

Record 6
CsPb2Au2 | PBE-GGA | optimized geometry

Computed properties:
- energy of formation from the pure elements (eV/atom) = -0.17
- total DFT energy (no corrections) (eV/atom) = -3.13
- calculated volume (Å³ per cell) = 167

Lattice parameters (Å, degrees): 6.9875 6.9875 6.9875 135.10 135.10 65.37
Fractional coordinates of all 5 atoms:
Cs 0.0000 0.0000 0.0000
Pb 0.3476 0.3476 0.0000
Pb 0.6524 0.6524 0.0000
Au 0.2500 0.7500 0.5000
Au 0.7500 0.2500 0.5000

Record 7
MgTaB3 | PBE-GGA | optimized geometry

Computed properties:
- energy of formation from the pure elements (eV/atom) = 2.07
- total DFT energy (no corrections) (eV/atom) = -4.62
- calculated volume (Å³ per cell) = 63

Lattice parameters (Å, degrees): 3.9711 3.9711 3.9711 90.00 90.00 90.00
Fractional coordinates of all 5 atoms:
Mg 0.0000 0.0000 0.0000
Ta 0.5000 0.5000 0.5000
B 0.0000 0.0000 0.5000
B 0.0000 0.5000 0.0000
B 0.5000 0.0000 0.0000

Record 8
Hf3SiSe | PBE-GGA | optimized geometry

Computed properties:
- total DFT energy (no corrections) (eV/atom) = -7.38
- calculated volume (Å³ per cell) = 118
- uncorrected formation energy (eV/atom) = 0.38

Lattice parameters (Å, degrees): 4.9090 4.9090 4.9090 90.00 90.00 90.00
Fractional coordinates of all 5 atoms:
Hf 0.0000 0.0000 0.5000
Hf 0.0000 0.5000 0.0000
Hf 0.5000 0.0000 0.0000
Si 0.0000 0.0000 0.0000
Se 0.5000 0.5000 0.5000

Record 9
TaPS2I | PBE-GGA | optimized geometry

Computed properties:
- total DFT energy (no corrections) (eV/atom) = -5.39
- calculated volume (Å³ per cell) = 117
- uncorrected formation energy (eV/atom) = 0.02

Lattice parameters (Å, degrees): 4.6936 4.6936 5.3122 90.00 90.00 90.00
Fractional coordinates of all 5 atoms:
Ta 0.0000 0.0000 0.0000
P 0.0000 0.0000 0.5000
S 0.0000 0.5000 0.0000
S 0.5000 0.0000 0.0000
I 0.5000 0.5000 0.5000

Record 10
BSeNF2 | PBE-GGA | optimized geometry

Computed properties:
- total DFT energy (no corrections) (eV/atom) = -4.72
- calculated volume (Å³ per cell) = 56
- uncorrected formation energy (eV/atom) = -0.28

Lattice parameters (Å, degrees): 4.5972 4.5972 2.6691 90.00 90.00 90.00
Fractional coordinates of all 5 atoms:
B 0.0000 0.0000 0.0000
Se 0.5000 0.5000 0.5000
N 0.0000 0.0000 0.5000
F 0.0000 0.5000 0.0000
F 0.5000 0.0000 0.0000

Record 11
KCdRe2C | PBE-GGA | optimized geometry

Computed properties:
- energy of formation from the pure elements (eV/atom) = 3.57
- total DFT energy (no corrections) (eV/atom) = -3.66
- calculated volume (Å³ per cell) = 174

Lattice parameters (Å, degrees): 5.1614 5.1614 6.5138 90.00 90.00 90.00
Fractional coordinates of all 5 atoms:
K 0.0000 0.0000 0.0000
Cd 0.0000 0.0000 0.5000
Re 0.0000 0.5000 0.5000
Re 0.5000 0.0000 0.5000
C 0.5000 0.5000 0.0000

Record 12
VCoCu | PBE-GGA | optimized geometry

Computed properties:
- energy of formation from the pure elements (eV/atom) = 0.23
- total DFT energy (no corrections) (eV/atom) = -6.55
- calculated volume (Å³ per cell) = 76

Lattice parameters (Å, degrees): 5.8439 5.4064 4.0670 74.68 63.16 42.16
Fractional coordinates of all 6 atoms:
V 0.2500 0.2500 0.2500
V 0.7500 0.7500 0.7500
Co 0.1184 0.1184 0.8816
Co 0.8816 0.8816 0.1184
Cu 0.3261 0.6739 0.3261
Cu 0.6739 0.3261 0.6739

Record 13
MnGaSi | PBE-GGA | optimized geometry

Computed properties:
- total DFT energy (no corrections) (eV/atom) = -6.12
- calculated volume (Å³ per cell) = 82
- uncorrected formation energy (eV/atom) = -0.24

Lattice parameters (Å, degrees): 9.5597 9.5597 9.5597 162.19 162.19 25.29
Fractional coordinates of all 6 atoms:
Mn 0.1545 0.1545 0.0000
Mn 0.8455 0.8455 0.0000
Ga 0.4318 0.4318 0.0000
Ga 0.5682 0.5682 0.0000
Si 0.2882 0.2882 0.0000
Si 0.7118 0.7118 0.0000

Record 14
Ca2NdCu6 | PBE-GGA | optimized geometry

Computed properties:
- energy of formation from the pure elements (eV/atom) = -0.14
- total DFT energy (no corrections) (eV/atom) = -3.84
- calculated volume (Å³ per cell) = 179

Lattice parameters (Å, degrees): 7.3743 7.3743 3.8044 90.00 90.00 120.00
Fractional coordinates of all 9 atoms:
Ca 0.3333 0.6667 0.0000
Ca 0.6667 0.3333 0.0000
Nd 0.0000 0.0000 0.0000
Cu 0.0000 0.3329 0.5000
Cu 0.0000 0.6671 0.5000
Cu 0.3329 0.0000 0.5000
Cu 0.3329 0.3329 0.5000
Cu 0.6671 0.0000 0.5000
Cu 0.6671 0.6671 0.5000

Record 15
RbCuIBr | PBE-GGA | optimized geometry

Computed properties:
- total DFT energy (no corrections) (eV/atom) = -2.90
- calculated volume (Å³ per cell) = 172
- uncorrected formation energy (eV/atom) = -0.83

Lattice parameters (Å, degrees): 5.8835 4.3219 6.9266 90.00 102.73 90.00
Fractional coordinates of all 4 atoms:
Rb 0.0000 0.0000 0.0000
Cu 0.7300 0.5000 0.3443
I 0.4946 0.5000 0.9908
Br 0.8690 0.0000 0.4873

Record 16
Pr2Si3SnPd4 | PBE-GGA | optimized geometry

Computed properties:
- total DFT energy (no corrections) (eV/atom) = -5.90
- calculated volume (Å³ per cell) = 193
- uncorrected formation energy (eV/atom) = -0.84

Lattice parameters (Å, degrees): 4.3194 4.3194 10.3697 90.00 90.00 90.00
Fractional coordinates of all 10 atoms:
Pr 0.0000 0.5000 0.2398
Pr 0.5000 0.0000 0.7602
Si 0.0000 0.5000 0.8783
Si 0.5000 0.0000 0.1217
Si 0.5000 0.5000 0.5000
Sn 0.0000 0.0000 0.5000
Pd 0.0000 0.0000 0.0000
Pd 0.0000 0.5000 0.6452
Pd 0.5000 0.0000 0.3548
Pd 0.5000 0.5000 0.0000

Record 17
PmYSnGe | PBE-GGA | optimized geometry

Computed properties:
- energy of formation from the pure elements (eV/atom) = -0.55
- total DFT energy (no corrections) (eV/atom) = -5.51
- calculated volume (Å³ per cell) = 105

Lattice parameters (Å, degrees): 5.2921 5.2921 5.2921 60.00 60.00 60.00
Fractional coordinates of all 4 atoms:
Pm 0.0000 0.0000 0.0000
Y 0.5000 0.5000 0.5000
Sn 0.2500 0.2500 0.2500
Ge 0.7500 0.7500 0.7500

Record 18
BaNa3Re | PBE-GGA | optimized geometry

Computed properties:
- energy of formation from the pure elements (eV/atom) = 2.30
- total DFT energy (no corrections) (eV/atom) = -1.36
- calculated volume (Å³ per cell) = 171

Lattice parameters (Å, degrees): 5.5459 5.5459 5.5459 90.00 90.00 90.00
Fractional coordinates of all 5 atoms:
Ba 0.0000 0.0000 0.0000
Na 0.0000 0.0000 0.5000
Na 0.0000 0.5000 0.0000
Na 0.5000 0.0000 0.0000
Re 0.5000 0.5000 0.5000

Record 19
Rb2BaTl | PBE-GGA | optimized geometry

Computed properties:
- energy of formation from the pure elements (eV/atom) = 0.15
- total DFT energy (no corrections) (eV/atom) = -1.40
- calculated volume (Å³ per cell) = 208

Lattice parameters (Å, degrees): 6.6545 6.6545 6.6545 60.00 60.00 60.00
Fractional coordinates of all 4 atoms:
Rb 0.2500 0.2500 0.2500
Rb 0.7500 0.7500 0.7500
Ba 0.0000 0.0000 0.0000
Tl 0.5000 0.5000 0.5000

Record 20
Nd12Sm6Mg | PBE-GGA | optimized geometry

Computed properties:
- energy of formation from the pure elements (eV/atom) = 0.13
- total DFT energy (no corrections) (eV/atom) = -4.46
- calculated volume (Å³ per cell) = 672

Lattice parameters (Å, degrees): 8.8446 8.8446 8.8446 97.51 97.51 97.51
Fractional coordinates of all 19 atoms:
Nd 0.0006 0.2613 0.7386
Nd 0.1705 0.5819 0.5817
Nd 0.2613 0.7386 0.0006
Nd 0.2614 0.9994 0.7387
Nd 0.4181 0.4183 0.8295
Nd 0.4183 0.8295 0.4181
Nd 0.5817 0.1705 0.5819
Nd 0.5819 0.5817 0.1705
Nd 0.7386 0.0006 0.2613
Nd 0.7387 0.2614 0.9994
Nd 0.8295 0.4181 0.4183
Nd 0.9994 0.7387 0.2614
Sm 0.1352 0.4065 0.1364
Sm 0.1364 0.1352 0.4065
Sm 0.4065 0.1364 0.1352
Sm 0.5935 0.8636 0.8648
Sm 0.8636 0.8648 0.5935
Sm 0.8648 0.5935 0.8636
Mg 0.0000 0.0000 0.0000

Record 21
Ba2SnOsRh | PBE-GGA | optimized geometry

Computed properties:
- energy of formation from the pure elements (eV/atom) = 1.14
- total DFT energy (no corrections) (eV/atom) = -4.15
- calculated volume (Å³ per cell) = 202

Lattice parameters (Å, degrees): 6.4536 6.4536 4.8601 90.00 90.00 90.00
Fractional coordinates of all 5 atoms:
Ba 0.0000 0.5000 0.0000
Ba 0.5000 0.0000 0.0000
Sn 0.0000 0.0000 0.0000
Os 0.5000 0.5000 0.5000
Rh 0.0000 0.0000 0.5000

Record 22
Mg2AgHgH | PBE-GGA | optimized geometry

Computed properties:
- total DFT energy (no corrections) (eV/atom) = -2.00
- calculated volume (Å³ per cell) = 82

Lattice parameters (Å, degrees): 4.5443 4.5443 3.9618 90.00 90.00 90.00
Fractional coordinates of all 5 atoms:
Mg 0.0000 0.5000 0.0000
Mg 0.5000 0.0000 0.0000
Ag 0.0000 0.0000 0.5000
Hg 0.5000 0.5000 0.5000
H 0.0000 0.0000 0.0000

Record 23
SrNiPt2 | PBE-GGA | optimized geometry

Computed properties:
- energy of formation from the pure elements (eV/atom) = -0.10
- total DFT energy (no corrections) (eV/atom) = -4.99
- calculated volume (Å³ per cell) = 72

Lattice parameters (Å, degrees): 5.6773 5.6773 5.6773 149.23 129.02 60.73
Fractional coordinates of all 4 atoms:
Sr 0.0000 0.0000 0.0000
Ni 0.5000 0.5000 0.0000
Pt 0.2861 0.7861 0.5000
Pt 0.7139 0.2139 0.5000

Record 24
YBeCd2 | PBE-GGA | optimized geometry

Computed properties:
- energy of formation from the pure elements (eV/atom) = -0.01
- total DFT energy (no corrections) (eV/atom) = -3.01
- calculated volume (Å³ per cell) = 81

Lattice parameters (Å, degrees): 4.8563 4.8563 4.8563 120.21 120.21 89.64
Fractional coordinates of all 4 atoms:
Y 0.0000 0.0000 0.0000
Be 0.7500 0.2500 0.5000
Cd 0.2500 0.7500 0.5000
Cd 0.5000 0.5000 0.0000

Record 25
PaFe2Ni | PBE-GGA | optimized geometry

Computed properties:
- energy of formation from the pure elements (eV/atom) = -0.18
- total DFT energy (no corrections) (eV/atom) = -8.23
- calculated volume (Å³ per cell) = 57

Lattice parameters (Å, degrees): 3.8781 3.8781 3.7679 90.00 90.00 90.00
Fractional coordinates of all 4 atoms:
Pa 0.0000 0.0000 0.0000
Fe 0.0000 0.5000 0.5000
Fe 0.5000 0.0000 0.5000
Ni 0.5000 0.5000 0.0000

Record 26
BeNbCu | PBE-GGA | optimized geometry

Computed properties:
- energy of formation from the pure elements (eV/atom) = -0.01
- total DFT energy (no corrections) (eV/atom) = -5.97
- calculated volume (Å³ per cell) = 78

Lattice parameters (Å, degrees): 3.6713 4.5291 5.0069 90.00 111.20 90.00
Fractional coordinates of all 6 atoms:
Be 0.0000 0.0000 0.0000
Be 0.0000 0.5000 0.0000
Nb 0.2752 0.2500 0.5546
Nb 0.7248 0.7500 0.4454
Cu 0.4367 0.7500 0.8727
Cu 0.5633 0.2500 0.1273